DFT (GGA-PBE) results for a relaxed Ac5La4Pr crystal.

Unit cell a=11.2842 b=11.2842 c=6.4011 alpha=90.00 beta=90.00 gamma=90.00
Atoms (fractional coordinates):
Ac1 0.0870 0.0870 0.1760
Ac2 0.0870 0.4130 0.1760
Ac3 0.2500 0.7500 0.0000
Ac4 0.4130 0.0870 0.1760
Ac5 0.4130 0.4130 0.1760
Ac6 0.5870 0.5870 0.8240
Ac7 0.5870 0.9130 0.8240
Ac8 0.7500 0.2500 0.0000
Ac9 0.9130 0.5870 0.8240
Ac10 0.9130 0.9130 0.8240
La1 0.0464 0.7500 0.3749
La2 0.2500 0.5464 0.6251
La3 0.2500 0.9536 0.6251
La4 0.4536 0.7500 0.3749
La5 0.5464 0.2500 0.6251
La6 0.7500 0.0464 0.3749
La7 0.7500 0.4536 0.3749
La8 0.9536 0.2500 0.6251
Pr1 0.2500 0.2500 0.6926
Pr2 0.7500 0.7500 0.3074

Properties
Volume, Å³/atom: 40.75
Space-group type: P4/nmm
DFT formation energy, meV per atom: 165
DFT total energy, Ha/atom: -0.1594
Relative energy among the computed polymorphs, kJ per mole of atoms: 13.5
Crystal system: tetragonal
M_tot, μB per formula unit: 0.00